# Sr3Pr2Cd3 PBE relaxed
data_Sr3Pr2Cd3
_chemical_formula_sum 'Sr6 Pr4 Cd6'
_cell_length_a 3.9952
_cell_length_b 5.7778
_cell_length_c 23.9277
_cell_angle_alpha 90.00
_cell_angle_beta 90.00
_cell_angle_gamma 90.00
_symmetry_space_group_name_H-M 'I m m m'
_symmetry_Int_Tables_number 71
_symmetry_space_group_name_Hall '-I 2 2'
loop_
_atom_site_label
_atom_site_type_symbol
_atom_site_fract_x
_atom_site_fract_y
_atom_site_fract_z
Sr1 Sr 0.0000 0.0000 0.0000
Sr2 Sr 0.0000 0.5000 0.1201
Pr1 Pr 0.0000 0.0000 0.2333
Cd1 Cd 0.0000 0.0000 0.5000
Cd2 Cd 0.0000 0.5000 0.3759
# Energy relative to the elements in eV per atom: -0.228

***

# Dy6YTm2Sc PBE relaxed
data_Dy6YTm2Sc
_chemical_formula_sum 'Dy24 Y4 Tm8 Sc4'
_cell_length_a 8.9876
_cell_length_b 14.8358
_cell_length_c 9.3452
_cell_angle_alpha 90.00
_cell_angle_beta 96.80
_cell_angle_gamma 90.00
_symmetry_space_group_name_H-M 'C 1 2/c 1'
_symmetry_Int_Tables_number 15
_symmetry_space_group_name_Hall '-C 2yc'
loop_
_atom_site_label
_atom_site_type_symbol
_atom_site_fract_x
_atom_site_fract_y
_atom_site_fract_z
Dy1 Dy 0.0585 0.1863 0.4456
Dy2 Dy 0.1022 0.3929 0.6162
Dy3 Dy 0.2148 0.2216 0.8104
Y1 Y 0.0000 0.0227 0.7500
Tm1 Tm 0.2451 0.4466 0.9534
Sc1 Sc 0.0000 0.4143 0.2500
# Energy relative to the elements in eV per atom: 0.126

***

# BaSc2Co PBE relaxed
data_BaSc2Co
_chemical_formula_sum 'Ba4 Sc8 Co4'
_cell_length_a 7.3417
_cell_length_b 7.3417
_cell_length_c 10.8883
_cell_angle_alpha 90.00
_cell_angle_beta 90.00
_cell_angle_gamma 90.00
_symmetry_space_group_name_H-M 'I 41/a m d'
_symmetry_Int_Tables_number 141
loop_
_symmetry_equiv_pos_as_xyz
'x,y,z'
'-x,-y,-z'
'-y+1/4,x+3/4,z+1/4'
'y+1/4,-x+3/4,-z+1/4'
'-x+1/2,-y,z+1/2'
'x+1/2,y,-z+1/2'
'y+1/4,-x+1/4,z+3/4'
'-y+1/4,x+1/4,-z+3/4'
'x,-y,-z'
'-x,y,z'
'-y+1/4,-x+1/4,-z+3/4'
'y+1/4,x+1/4,z+3/4'
'-x+1/2,y,-z+1/2'
'x+1/2,-y,z+1/2'
'y+1/4,x+3/4,-z+1/4'
'-y+1/4,-x+3/4,z+1/4'
'x+1/2,y+1/2,z+1/2'
'-x+1/2,-y+1/2,-z+1/2'
'-y+3/4,x+1/4,z+3/4'
'y+3/4,-x+1/4,-z+3/4'
'-x,-y+1/2,z'
'x,y+1/2,-z'
'y+3/4,-x+3/4,z+1/4'
'-y+3/4,x+3/4,-z+1/4'
'x+1/2,-y+1/2,-z+1/2'
'-x+1/2,y+1/2,z+1/2'
'-y+3/4,-x+3/4,-z+1/4'
'y+3/4,x+3/4,z+1/4'
'-x,y+1/2,-z'
'x,-y+1/2,z'
'y+3/4,x+1/4,-z+3/4'
'-y+3/4,-x+1/4,z+3/4'
loop_
_atom_site_label
_atom_site_type_symbol
_atom_site_fract_x
_atom_site_fract_y
_atom_site_fract_z
Ba1 Ba 0.0000 0.2500 0.3750
Sc1 Sc 0.0000 0.0000 0.0000
Co1 Co 0.0000 0.2500 0.8750
# Energy relative to the elements in eV per atom: 0.432
# E above lowest polymorph in eV per atom: 0.3973

***

# BaCd4Sn12 PBE relaxed
data_BaCd4Sn12
_chemical_formula_sum 'Ba2 Cd8 Sn24'
_cell_length_a 10.0815
_cell_length_b 10.0815
_cell_length_c 10.0815
_cell_angle_alpha 90.00
_cell_angle_beta 90.00
_cell_angle_gamma 90.00
_symmetry_space_group_name_H-M 'I m -3'
_symmetry_Int_Tables_number 204
_symmetry_space_group_name_Hall '-I 2 2 3'
loop_
_atom_site_label
_atom_site_type_symbol
_atom_site_fract_x
_atom_site_fract_y
_atom_site_fract_z
Ba1 Ba 0.0000 0.0000 0.0000
Cd1 Cd 0.2500 0.2500 0.2500
Sn1 Sn 0.0000 0.1513 0.3570
# Energy relative to the elements in eV per atom: -0.006

***

# CaAg2Os PBE relaxed
data_CaAg2Os
_chemical_formula_sum 'Ca2 Ag4 Os2'
_cell_length_a 5.9107
_cell_length_b 8.3924
_cell_length_c 2.9390
_cell_angle_alpha 90.00
_cell_angle_beta 90.00
_cell_angle_gamma 90.00
_symmetry_space_group_name_H-M 'C m m m'
_symmetry_Int_Tables_number 65
_symmetry_space_group_name_Hall '-C 2 2'
loop_
_atom_site_label
_atom_site_type_symbol
_atom_site_fract_x
_atom_site_fract_y
_atom_site_fract_z
Ca1 Ca 0.0000 0.0000 0.0000
Ag1 Ag 0.2500 0.2500 0.5000
Os1 Os 0.0000 0.5000 0.0000
# Energy relative to the elements in eV per atom: 0.451
# E above lowest polymorph in eV per atom: 0.0116

***

# Tl2TcAu PBE relaxed
data_Tl2TcAu
_chemical_formula_sum 'Tl8 Tc4 Au4'
_cell_length_a 6.8537
_cell_length_b 6.8537
_cell_length_c 6.8537
_cell_angle_alpha 90.00
_cell_angle_beta 90.00
_cell_angle_gamma 90.00
_symmetry_space_group_name_H-M 'F m -3 m'
_symmetry_Int_Tables_number 225
_symmetry_space_group_name_Hall '-F 4 2 3'
loop_
_atom_site_label
_atom_site_type_symbol
_atom_site_fract_x
_atom_site_fract_y
_atom_site_fract_z
Tl1 Tl 0.2500 0.2500 0.2500
Tc1 Tc 0.0000 0.0000 0.0000
Au1 Au 0.0000 0.0000 0.5000
# Energy relative to the elements in eV per atom: 0.705
# E above lowest polymorph in eV per atom: 0.2336

***

# CsMoSe2 PBE relaxed
data_CsMoSe2
_chemical_formula_sum 'Cs4 Mo4 Se8'
_cell_length_a 7.6234
_cell_length_b 7.6234
_cell_length_c 9.8134
_cell_angle_alpha 90.00
_cell_angle_beta 90.00
_cell_angle_gamma 90.00
_symmetry_space_group_name_H-M 'I -4 2 d'
_symmetry_Int_Tables_number 122
_symmetry_space_group_name_Hall 'I -4 2bw'
loop_
_atom_site_label
_atom_site_type_symbol
_atom_site_fract_x
_atom_site_fract_y
_atom_site_fract_z
Cs1 Cs 0.0000 0.0000 0.0000
Mo1 Mo 0.0000 0.0000 0.5000
Se1 Se 0.1100 0.7500 0.6250
# ΔE_f (raw) in eV/atom: -0.450
# E above lowest polymorph in eV per atom: 0.0000

***

# Gd2MgAs PBE relaxed
data_Gd2MgAs
_chemical_formula_sum 'Gd2 Mg1 As1'
_cell_length_a 3.8379
_cell_length_b 3.8379
_cell_length_c 6.7184
_cell_angle_alpha 90.00
_cell_angle_beta 90.00
_cell_angle_gamma 90.00
_symmetry_space_group_name_H-M 'P 4/m m m'
_symmetry_Int_Tables_number 123
_symmetry_space_group_name_Hall '-P 4 2'
loop_
_atom_site_label
_atom_site_type_symbol
_atom_site_fract_x
_atom_site_fract_y
_atom_site_fract_z
Gd1 Gd 0.0000 0.0000 0.2317
Mg1 Mg 0.5000 0.5000 0.5000
As1 As 0.5000 0.5000 0.0000
# Energy relative to the elements in eV per atom: -0.668
# E above lowest polymorph in eV per atom: 0.0026

***

Computed M_tot (μB per formula unit) in order:
0.0; 0.0; 0.0; 0.0; 0.0; 0.0; 0.0; 14.9
Computed electronic total energy (eV/atom) in order:
-2.40; -4.81; -4.99; -3.16; -4.28; -3.89; -5.11; -9.27